No. 1
Entry from the Alexandria database: a relaxed structure of LaTl (GGA-PBE).

## Properties
space group = Pm-3n
D(E_F) = 3.3 states/eV/f.u.
VASP energy = -3.120 eV per atom

POSCAR file:
```
LaTl
1.0
8.881 0.000 0.000
0.000 8.881 0.000
0.000 0.000 8.881
La Tl
6 6
Cartesian
0.000 2.220 4.441
0.000 6.661 4.441
2.220 4.441 0.000
4.441 0.000 2.220
4.441 0.000 6.661
6.661 4.441 0.000
0.000 4.441 2.220
0.000 4.441 6.661
2.220 0.000 4.441
4.441 2.220 0.000
4.441 6.661 0.000
6.661 0.000 4.441
```

---

No. 2
Entry from the Alexandria database: a relaxed structure of GePd2I (GGA-PBE).

## Properties
space group = Fm-3m
polymorph energy (0 for the lowest one) = 35 meV per atom
D(E_F) = 1.0 states/eV/f.u.
VASP energy = -4.077 eV per atom

POSCAR file:
```
GePd2I
1.0
6.748 0.000 0.000
0.000 6.748 0.000
0.000 0.000 6.748
Ge Pd I
4 8 4
Cartesian
0.000 0.000 0.000
0.000 3.374 3.374
3.374 0.000 3.374
3.374 3.374 0.000
1.687 1.687 1.687
1.687 1.687 5.061
1.687 5.061 1.687
1.687 5.061 5.061
5.061 1.687 1.687
5.061 1.687 5.061
5.061 5.061 1.687
5.061 5.061 5.061
0.000 0.000 3.374
0.000 3.374 0.000
3.374 0.000 0.000
3.374 3.374 3.374
```

---

No. 3
Entry from the Alexandria database: a relaxed structure of Y3Er4Bi4 (GGA-PBE).

## Properties
space group = Immm
D(E_F) = 13.0 states/eV/f.u.
VASP energy = -5.362 eV per atom

POSCAR file:
```
Y3Er4Bi4
1.0
-2.057 4.638 8.784
2.057 -4.638 8.784
2.057 4.638 -8.784
Y Er Bi
3 4 4
Cartesian
0.000 0.000 0.000
2.057 0.000 6.968
0.000 4.638 1.816
2.057 1.725 -2.923
2.057 1.725 2.923
0.000 2.913 5.861
0.000 2.913 11.707
0.000 0.000 4.569
2.057 2.742 0.000
0.000 1.895 8.784
0.000 0.000 12.998
```

---

No. 4
Entry from the Alexandria database: a relaxed structure of TbPu2ZrS4 (GGA-PBE).

## Properties
space group = P2/m
D(E_F) = 14.5 states/eV/f.u.
VASP energy = -9.061 eV per atom

POSCAR file:
```
TbPu2ZrS4
1.0
6.698 0.000 0.000
0.000 3.864 0.000
-2.223 0.000 6.351
Tb Pu Zr S
1 2 1 4
Cartesian
0.000 0.000 0.000
-1.111 1.932 3.175
2.238 0.000 3.175
3.349 1.932 0.000
1.159 1.932 1.556
0.050 0.000 4.820
4.426 0.000 1.531
3.316 1.932 4.795
```

---

No. 5
Entry from the Alexandria database: a relaxed structure of CaLaDy2Bi4 (GGA-PBE).

## Properties
space group = P2/m
D(E_F) = 3.7 states/eV/f.u.
VASP energy = -4.807 eV per atom

POSCAR file:
```
CaLaDy2Bi4
1.0
7.866 0.000 0.000
0.000 4.552 0.000
-2.628 0.000 7.569
Ca La Dy Bi
1 1 2 4
Cartesian
0.000 0.000 0.000
3.933 2.276 0.000
-1.314 2.276 3.784
2.619 0.000 3.784
-0.019 0.000 5.581
1.299 2.276 1.984
3.939 2.276 5.585
5.257 0.000 1.988
```

---

No. 6
Entry from the Alexandria database: a relaxed structure of Ca3GeH (GGA-PBE).

## Properties
space group = P2_1/m
polymorph energy (0 for the lowest one) = 0 meV per atom
D(E_F) = 3.0 states/eV/f.u.
VASP energy = -3.209 eV per atom

POSCAR file:
```
Ca3GeH
1.0
5.074 0.000 0.000
0.000 6.878 0.000
-2.539 0.000 7.405
Ca Ge H
6 2 2
Cartesian
-0.001 1.719 0.752
-0.001 0.062 4.849
-0.001 3.377 4.849
2.536 3.501 2.557
2.536 6.816 2.557
2.536 5.158 6.654
-0.002 5.158 2.189
2.537 1.719 5.217
0.002 5.158 6.233
2.533 1.719 1.173
```

---

No. 7
Entry from the Alexandria database: a relaxed structure of CuCl2 (GGA-PBE).

## Properties
space group = C2/m
D(E_F) = 0.9 states/eV/f.u.
VASP energy = -3.097 eV per atom

POSCAR file:
```
CuCl2
1.0
13.324 0.000 0.000
0.000 3.317 0.000
-2.842 0.000 7.029
Cu Cl
4 8
Cartesian
2.625 0.000 1.756
1.195 1.658 5.273
7.857 0.000 5.273
9.287 1.658 1.756
-0.357 0.000 5.463
1.073 1.658 1.947
2.746 0.000 5.082
4.177 1.658 1.566
6.305 1.658 5.463
7.736 0.000 1.947
9.408 1.658 5.082
10.839 0.000 1.566
```

---

No. 8
Entry from the Alexandria database: a relaxed structure of Mg2PbW (GGA-PBE).

## Properties
space group = I-42d
D(E_F) = 1.9 states/eV/f.u.
VASP energy = -4.033 eV per atom

POSCAR file:
```
Mg2PbW
1.0
7.910 0.000 0.000
0.000 7.910 0.000
0.000 0.000 5.646
Mg Pb W
8 4 4
Cartesian
1.851 1.978 0.706
1.978 5.806 2.117
1.978 6.060 4.940
2.105 1.978 3.529
5.806 5.933 3.529
5.933 1.851 4.940
5.933 2.105 2.117
6.060 5.933 0.706
0.000 0.000 2.823
0.000 3.955 4.235
3.955 0.000 1.412
3.955 3.955 0.000
0.000 0.000 0.000
0.000 3.955 1.412
3.955 0.000 4.235
3.955 3.955 2.823
```

---

No. 9
Entry from the Alexandria database: a relaxed structure of Pm2HPt4 (GGA-PBE).

## Properties
space group = I4/mmm
polymorph energy (0 for the lowest one) = 0 meV per atom
D(E_F) = 2.7 states/eV/f.u.
VASP energy = -6.076 eV per atom

POSCAR file:
```
Pm2HPt4
1.0
4.138 0.000 0.000
0.000 4.138 0.000
0.000 0.000 14.978
Pm H Pt
4 2 8
Cartesian
0.000 0.000 2.431
0.000 0.000 12.547
2.069 2.069 5.058
2.069 2.069 9.920
0.000 0.000 7.489
2.069 2.069 0.000
0.000 0.000 5.441
0.000 0.000 9.537
0.000 2.069 0.000
0.000 2.069 7.489
2.069 0.000 0.000
2.069 0.000 7.489
2.069 2.069 2.048
2.069 2.069 12.930
```

---

No. 10
Entry from the Alexandria database: a relaxed structure of Tb2NiSe (GGA-PBE).

## Properties
space group = R-3m
polymorph energy (0 for the lowest one) = 63 meV per atom
D(E_F) = 2.0 states/eV/f.u.
VASP energy = -5.653 eV per atom

POSCAR file:
```
Tb2NiSe
1.0
3.925 0.000 0.000
-1.962 3.399 0.000
0.000 0.000 21.125
Tb Ni Se
6 3 3
Cartesian
0.000 0.000 5.114
0.000 0.000 16.011
0.000 2.266 8.969
0.000 2.266 19.197
1.962 1.133 1.928
1.962 1.133 12.155
0.000 0.000 10.562
0.000 2.266 3.521
1.962 1.133 17.604
0.000 0.000 0.000
0.000 2.266 14.083
1.962 1.133 7.042
```

---

No. 11
Entry from the Alexandria database: a relaxed structure of ScSbAu2 (GGA-PBE).

## Properties
space group = I4/mmm
D(E_F) = 2.1 states/eV/f.u.
VASP energy = -4.769 eV per atom

POSCAR file:
```
ScSbAu2
1.0
4.294 0.000 0.000
0.000 4.294 0.000
0.000 0.000 8.828
Sc Sb Au
2 2 4
Cartesian
0.000 0.000 0.000
2.147 2.147 4.414
0.000 0.000 4.414
2.147 2.147 0.000
0.000 2.147 2.207
0.000 2.147 6.621
2.147 0.000 2.207
2.147 0.000 6.621
```

---

No. 12
Entry from the Alexandria database: a relaxed structure of Mg5MnBr12 (GGA-PBE).

## Properties
space group = C2/m
D(E_F) = 0.0 states/eV/f.u.
VASP energy = -3.436 eV per atom

POSCAR file:
```
Mg5MnBr12
1.0
3.362 -5.826 0.000
3.362 5.826 0.000
-0.008 0.000 14.119
Mg Mn Br
5 1 12
Cartesian
0.000 0.000 0.000
3.358 3.884 7.060
3.362 1.942 0.000
3.362 -1.942 0.000
3.358 -3.884 7.060
3.358 0.000 7.060
4.474 -3.884 12.612
2.241 3.884 1.508
1.113 0.000 8.568
2.235 1.945 5.550
4.474 3.884 12.612
2.241 0.000 1.507
2.235 -1.945 5.550
4.480 1.945 8.569
4.474 0.000 12.612
2.241 -3.884 1.508
4.480 -1.945 8.569
5.602 0.000 5.551
```